The following is a DFT calculation (PBE) of an optimized crystal structure of Cs2BiPO6.

Properties
The total magnetization comes out at 0.0 μB/f.u. The electronic total energy comes out at -54.82 eV per cell.

abc: 5.323 6.648 6.648
angles: 120.00 90.00 90.00
Element x y z (fractional)
O 0.198 0.876 0.752
O 0.802 0.124 0.248
O 0.802 0.752 0.876
O 0.198 0.248 0.124
O 0.198 0.876 0.124
O 0.802 0.124 0.876
P 0.000 0.000 0.000
Cs 0.166 0.333 0.667
Cs 0.834 0.667 0.333
Bi 0.500 0.000 0.000